Here is NiAu5 after structural relaxation from Alexandria via LeMat-Bulk. Energies are from GGA-PBE.

Output
The value obtained for the energy above the lowest structure with this stoichiometry is 8.21 kcal/mol of atoms. The value obtained for the calculated total energy is -3.286 eV per atom. Its density is 14.381 g cm⁻³.

Structure (CIF):
```
data_NiAu5
_cell_length_a 5.4129
_cell_length_b 5.4129
_cell_length_c 4.7485
_cell_angle_alpha 90.00
_cell_angle_beta 90.00
_cell_angle_gamma 120.00
_symmetry_space_group_name_H-M 'P 6/m m m'
_symmetry_Int_Tables_number 191
_symmetry_space_group_name_Hall '-P 6 2'
loop_
_atom_site_label
_atom_site_fract_x
_atom_site_fract_y
_atom_site_fract_z
Ni1 0.0000 0.0000 0.0000
Au1 0.0000 0.5000 0.5000
Au2 0.3333 0.6667 0.0000
```

Here is NiAu after structural relaxation from Alexandria via LeMat-Bulk. Energies are from GGA-PBE.

Output
The value obtained for the calculated total energy is -3.518 eV per atom. Its density is 9.465 g cm⁻³.

Structure (CIF):
```
data_NiAu
_cell_length_a 5.6400
_cell_length_b 5.6400
_cell_length_c 5.6400
_cell_angle_alpha 90.00
_cell_angle_beta 90.00
_cell_angle_gamma 90.00
_symmetry_space_group_name_H-M 'F -4 3 m'
_symmetry_Int_Tables_number 216
_symmetry_space_group_name_Hall 'F -4 2 3'
loop_
_atom_site_label
_atom_site_fract_x
_atom_site_fract_y
_atom_site_fract_z
Ni1 0.0000 0.0000 0.0000
Au1 0.2500 0.2500 0.7500
```

Here is Ni3Au after structural relaxation from Alexandria via LeMat-Bulk. Energies are from GGA-PBE.

Output
The value obtained for the calculated total energy is -4.991 eV per atom. Its density is 12.036 g cm⁻³.

Structure (CIF):
```
data_Ni3Au
_cell_length_a 2.7128
_cell_length_b 8.5700
_cell_length_c 4.4274
_cell_angle_alpha 90.00
_cell_angle_beta 90.00
_cell_angle_gamma 90.00
_symmetry_space_group_name_H-M 'I m m 2'
_symmetry_Int_Tables_number 44
loop_
_symmetry_equiv_pos_as_xyz
'x,y,z'
'-x,-y,z'
'-x,y,z'
'x,-y,z'
'x+1/2,y+1/2,z+1/2'
'-x+1/2,-y+1/2,z+1/2'
'-x+1/2,y+1/2,z+1/2'
'x+1/2,-y+1/2,z+1/2'
loop_
_atom_site_label
_atom_site_fract_x
_atom_site_fract_y
_atom_site_fract_z
Ni1 0.0000 0.0000 0.0000
Ni2 0.0000 0.2611 0.3832
Au1 0.0000 0.5000 0.9966
```

Here is NiAu after structural relaxation from Alexandria via LeMat-Bulk. Energies are from GGA-PBE.

Output
The value obtained for the calculated total energy is -4.340 eV per atom. Its density is 13.992 g cm⁻³.

Structure (CIF):
```
data_NiAu
_cell_length_a 7.6723
_cell_length_b 7.6723
_cell_length_c 4.1236
_cell_angle_alpha 90.00
_cell_angle_beta 90.00
_cell_angle_gamma 90.00
_symmetry_space_group_name_H-M 'I 4/m m m'
_symmetry_Int_Tables_number 139
_symmetry_space_group_name_Hall '-I 4 2'
loop_
_atom_site_label
_atom_site_fract_x
_atom_site_fract_y
_atom_site_fract_z
Ni1 0.1601 0.1601 0.0000
Au1 0.0000 0.2969 0.5000
```

no.,formation enthalpy at 0 K (eV per atom)
1,0.41
2,1.01
3,0.16
4,0.19